Density functional theory data (PBE) for a relaxed structure of CuTcTeN2.

The structure in POSCAR format:
```
CuTcTeN2
1.0
3.857 0.000 0.000
0.000 3.857 0.000
0.000 0.000 5.451
Cu Tc Te N
1 1 1 2
Direct
0.000 0.000 0.000 Cu
0.500 0.500 0.500 Tc
0.000 0.000 0.500 Te
0.000 0.500 0.000 N
0.500 0.000 0.000 N
```

## Properties
Formation energy without anion corrections ... 9.11 eV/f.u.
Space-group type ... P4/mmm
Distance to the lowest polymorph of the same formula ... 1233 meV/atom

***

Density functional theory data (PBE) for a relaxed structure of Mg3Al12Cu5.

The structure in POSCAR format:
```
Mg3Al12Cu5
1.0
-7.479 7.479 7.479
7.479 -7.479 7.479
7.479 7.479 -7.479
Mg Al Cu
12 48 20
Direct
0.125 0.250 0.375 Mg
0.125 0.375 0.750 Mg
0.250 0.375 0.125 Mg
0.250 0.875 0.625 Mg
0.375 0.125 0.250 Mg
0.375 0.750 0.125 Mg
0.625 0.250 0.875 Mg
0.625 0.875 0.750 Mg
0.750 0.125 0.375 Mg
0.750 0.625 0.875 Mg
0.875 0.625 0.250 Mg
0.875 0.750 0.625 Mg
0.048 0.215 0.126 Al
0.048 0.334 0.923 Al
0.077 0.626 0.411 Al
0.077 0.952 0.666 Al
0.089 0.715 0.666 Al
0.089 0.874 0.423 Al
0.126 0.048 0.215 Al
0.126 0.577 0.911 Al
0.166 0.215 0.589 Al
0.166 0.452 0.577 Al
0.215 0.126 0.048 Al
0.215 0.589 0.166 Al
0.285 0.334 0.911 Al
0.285 0.452 0.374 Al
0.334 0.911 0.285 Al
0.334 0.923 0.048 Al
0.374 0.285 0.452 Al
0.374 0.589 0.923 Al
0.411 0.077 0.626 Al
0.411 0.834 0.785 Al
0.423 0.089 0.874 Al
0.423 0.834 0.548 Al
0.452 0.374 0.285 Al
0.452 0.577 0.166 Al
0.548 0.423 0.834 Al
0.548 0.626 0.715 Al
0.577 0.166 0.452 Al
0.577 0.911 0.126 Al
0.589 0.166 0.215 Al
0.589 0.923 0.374 Al
0.626 0.411 0.077 Al
0.626 0.715 0.548 Al
0.666 0.077 0.952 Al
0.666 0.089 0.715 Al
0.715 0.548 0.626 Al
0.715 0.666 0.089 Al
0.785 0.411 0.834 Al
0.785 0.874 0.952 Al
0.834 0.548 0.423 Al
0.834 0.785 0.411 Al
0.874 0.423 0.089 Al
0.874 0.952 0.785 Al
0.911 0.126 0.577 Al
0.911 0.285 0.334 Al
0.923 0.048 0.334 Al
0.923 0.374 0.589 Al
0.952 0.666 0.077 Al
0.952 0.785 0.874 Al
0.000 0.000 0.000 Cu
0.000 0.000 0.500 Cu
0.000 0.500 0.000 Cu
0.000 0.500 0.500 Cu
0.125 0.750 0.875 Cu
0.125 0.875 0.250 Cu
0.250 0.125 0.875 Cu
0.250 0.625 0.375 Cu
0.375 0.250 0.625 Cu
0.375 0.625 0.750 Cu
0.500 0.000 0.000 Cu
0.500 0.000 0.500 Cu
0.500 0.500 0.000 Cu
0.500 0.500 0.500 Cu
0.625 0.375 0.250 Cu
0.625 0.750 0.375 Cu
0.750 0.375 0.625 Cu
0.750 0.875 0.125 Cu
0.875 0.125 0.750 Cu
0.875 0.250 0.125 Cu
```

## Properties
Space-group type ... Ia-3d
DFT total energy ... -3.115 eV per atom

***

Density functional theory data (PBE) for a relaxed structure of CaNiCl2.

The structure in POSCAR format:
```
CaNiCl2
1.0
0.000 3.416 3.416
3.416 0.000 3.416
3.416 3.416 0.000
Ca Ni Cl
1 1 2
Direct
0.000 0.000 0.000 Ca
0.750 0.750 0.750 Ni
0.250 0.250 0.250 Cl
0.500 0.500 0.500 Cl
```

## Properties
Formation energy without anion corrections ... -1.74 eV/f.u.
Space-group type ... F-43m
Distance to the lowest polymorph of the same formula ... 748 meV/atom

***

Density functional theory data (PBE) for a relaxed structure of Sm4ThSb4.

The structure in POSCAR format:
```
Sm4ThSb4
1.0
-4.042 4.042 4.874
4.042 -4.042 4.874
4.042 4.042 -4.874
Sm Th Sb
4 1 4
Direct
0.000 0.500 0.500 Sm
0.167 0.167 0.000 Sm
0.500 0.000 0.500 Sm
0.833 0.833 0.000 Sm
0.500 0.500 0.000 Th
0.111 0.587 0.000 Sb
0.413 0.413 0.525 Sb
0.587 0.111 0.000 Sb
0.889 0.889 0.475 Sb
```

## Properties
Formation energy without anion corrections ... -4.91 eV/f.u.
Space-group type ... I-42m

***

Question: Which formula does entry 2 have?
Answer: Mg3Al12Cu5

***

Question: Which formula does entry 1 have?
Answer: CuTcTeN2